First-principles (PBE) data for an optimized crystal structure of Mo3HPt, as listed in Alexandria via LeMat-Bulk.

## Properties
- Volume: 15.17 Å³ per atom
- DOS at the Fermi energy: 0.81 states/eV/atom
- Distance to the lowest polymorph of the same formula: 492 meV per atom
- Space-group type: R-3, No. 148
- Total moment: 0.00 μB/f.u.

```
Mo3HPt
1.0
3.1688 0.0000 5.8130
-1.5844 2.7443 5.8130
-1.5844 -2.7443 5.8130
Pt Mo H
2 6 2
Direct
0.6680 0.6680 0.6680 Pt
0.3320 0.3320 0.3320 Pt
0.7820 0.4396 0.1274 Mo
0.8726 0.2180 0.5604 Mo
0.1274 0.7820 0.4396 Mo
0.2180 0.5604 0.8726 Mo
0.5604 0.8726 0.2180 Mo
0.4396 0.1274 0.7820 Mo
0.1640 0.1640 0.1640 H
0.8360 0.8360 0.8360 H
```